[1]
{
  "formula": "Rb3Tm3PuS8",
  "functional": "PBE",
  "state": "optimized geometry",
  "space_group": "R-3m (166)",
  "e_form_raw_ev_per_fu": -26.548,
  "lattice_angstrom": [[-3.726, 2.540, 6.597], [-4.015, -0.579, -6.885], [1.993, -7.817, 4.136]],
  "species": ["S", "S", "S", "S", "S", "S", "S", "S", "Rb", "Rb", "Rb", "Tm", "Tm", "Tm", "Pu"],
  "fractional_positions": [[0.729, 0.459, 0.688], [0.227, 0.958, 0.685], [0.773, 0.042, 0.315], [0.773, 0.545, 0.315], [0.269, 0.042, 0.315], [0.227, 0.455, 0.685], [0.271, 0.541, 0.312], [0.731, 0.958, 0.685], [0.500, 0.500, 0.000], [0.000, 0.500, 0.000], [0.000, 0.000, 0.000], [0.500, 0.000, 0.500], [0.500, 0.500, 0.500], [0.000, 0.500, 0.500], [0.000, 0.000, 0.500]]
}


[2]
{
  "formula": "Pr2GaBi",
  "functional": "PBE",
  "state": "optimized geometry",
  "formation_energy_mev_per_atom": -710,
  "space_group": "Cmcm (63)",
  "lattice_angstrom": [[4.451, 0.000, 0.000], [0.000, 4.578, -0.813], [0.000, -0.139, 12.512]],
  "species": ["Ga", "Ga", "Pr", "Pr", "Pr", "Pr", "Bi", "Bi"],
  "fractional_positions": [[0.250, 0.465, 0.931], [0.750, 0.535, 0.069], [0.750, 0.941, 0.882], [0.250, 0.059, 0.118], [0.750, 0.678, 0.356], [0.250, 0.322, 0.644], [0.750, 0.811, 0.622], [0.250, 0.189, 0.378]]
}


Number 1: uncorrected energy -90.22 eV for the cell shown. Number 2: uncorrected energy -38.61 eV for the cell shown.